(1)
A plane-wave DFT calculation with meta-GGA SCAN was carried out for a crystal of Ta2AuCF relaxed with PBEsol.

Lattice parameters (Å, degrees): 4.1326 4.1326 4.1735 90.00 90.00 90.00
With the nearest neighbours (Å) after each atom.
Atoms (fractional coordinates):
Ta  0.0000  0.5000  0.0000  2 F 2.07
Ta  0.5000  0.0000  0.0000  2 F 2.07
Au  0.0000  0.0000  0.5000  4 C 2.92, 8 Ta 2.94
C  0.5000  0.5000  0.5000  2 F 2.09
F  0.5000  0.5000  0.0000  4 Ta 2.07, 2 C 2.09

## Properties
SG ... P4/mmm
Final energy ... -42.1461 eV/atom

=====

(2)
A plane-wave DFT calculation with meta-GGA SCAN was carried out for a crystal of LaCo2Rh relaxed with PBEsol.

Lattice parameters (Å, degrees): 4.7510 4.7510 4.7510 132.65 126.61 74.10
With the nearest neighbours (Å) after each atom.
Atoms (fractional coordinates):
La  0.0000  0.0000  0.0000  8 Co 2.76-2.87, 4 Rh 2.77-2.78
Co  0.5300  0.5300  0.0000  2 Co 2.47, 2 Rh 2.76
Co  0.7377  0.2377  0.5000  2 Co 2.47, 2 La 2.76
Rh  0.2669  0.7669  0.5000  8 Co 2.76-2.87, 4 La 2.77-2.78

## Properties
Formation energy ... 0.1888 eV/atom
SG ... Imm2

=====

(3)
A plane-wave DFT calculation with meta-GGA SCAN was carried out for a crystal of BaIn2Cl relaxed with PBEsol.

Lattice parameters (Å, degrees): 7.2628 7.2628 4.5175 101.86 101.86 32.45
With the nearest neighbours (Å) after each atom.
Atoms (fractional coordinates):
Ba  0.0000  0.0000  0.0000  4 Cl 3.04
In  0.2575  0.2575  0.7579  4 In 3.02-3.06
In  0.7425  0.7425  0.2421  4 In 3.02-3.06
Cl  0.5000  0.5000  0.5000  4 Ba 3.04

## Properties
SG ... C2/m
Final energy ... -29.5704 eV/atom

=====

(4)
A plane-wave DFT calculation with meta-GGA SCAN was carried out for a crystal of LaUN2 relaxed with PBEsol.

Lattice parameters (Å, degrees): 6.1294 6.1294 6.1294 33.29 33.29 33.29
With the nearest neighbours (Å) after each atom.
Atoms (fractional coordinates):
La  0.0000  0.0000  0.0000  6 N 2.69
U  0.5000  0.5000  0.5000  6 N 2.32
N  0.2317  0.2317  0.2317  3 U 2.32
N  0.7683  0.7683  0.7683  3 U 2.32

## Properties
SG ... R-3m
Final energy ... -42.7871 eV/atom